This record from the Alexandria database describes an optimized crystal structure of Re2TcSnH. The functional is GGA-PBE.

Unit cell a=4.8802 b=4.8802 c=3.2566 alpha=90.00 beta=90.00 gamma=90.00
With the nearest neighbours (Å) after each atom.
Space group P4/mmm (No. 123)
Inequivalent atoms, fractional coordinates:
1 Re 0.0000 0.5000 0.0000  2 Tc 2.44
2 Tc 0.0000 0.0000 0.0000  2 H 1.63
3 Sn 0.5000 0.5000 0.5000  8 Re 2.93, 2 Sn 3.26
4 H 0.0000 0.0000 0.5000  2 Tc 1.63

Summary:
The total energy comes out at -7.41 eV/atom. As for the total magnetization: 0.000 μB per atom.